No. 1
## Ta2AlAg (PBE)

Data for a relaxed structure of Ta2AlAg.

Output
As for the space group: Pm, No. 6. The value obtained for the formation energy from the elements is 0.27 eV per formula unit. For the energy relative to the lowest polymorph listed for this composition, the calculation gives 76 meV per atom.

Cell lengths 4.244, 2.922, 5.858 Å; angles 75.45, 90.00, 90.00 degrees
Fractional positions:
Ta  0.000  0.944  0.985
Ta  0.500  0.312  0.253
Ag  0.000  0.686  0.504
Al  0.500  0.558  0.758

***

No. 2
## FeNi2RhSe6 (PBE)

Data for a relaxed structure of FeNi2RhSe6.

Output
As for the space group: C2/c, No. 15. The formation energy (no corrections) comes out at -0.259 eV per atom.

Cell lengths 6.297, 7.904, 7.904 Å; angles 94.73, 76.24, 76.24 degrees
Fractional positions:
Ni  0.713  0.279  0.464
Ni  0.213  0.464  0.279
Ni  0.287  0.721  0.536
Ni  0.787  0.536  0.721
Se  0.363  0.929  0.356
Se  0.427  0.496  0.694
Se  0.334  0.217  0.045
Se  0.073  0.306  0.504
Se  0.573  0.504  0.306
Se  0.166  0.955  0.783
Se  0.863  0.356  0.929
Se  0.637  0.071  0.644
Se  0.927  0.694  0.496
Se  0.137  0.644  0.071
Se  0.666  0.783  0.955
Se  0.834  0.045  0.217
Fe  0.250  0.251  0.749
Fe  0.750  0.749  0.251
Rh  0.750  0.079  0.921
Rh  0.250  0.921  0.079

***

No. 3
## Co2ReTc (PBE)

Data for a relaxed structure of Co2ReTc.

Output
As for the space group: P4mm, No. 99. The value obtained for the formation energy from the elements is 0.39 eV per formula unit. For the energy relative to the lowest polymorph listed for this composition, the calculation gives 157 meV per atom.

Cell lengths 2.650, 2.650, 7.265 Å; angles 90.00, 90.00, 90.00 degrees
Fractional positions:
Co  0.000  0.000  0.007
Co  0.500  0.500  0.242
Tc  0.500  0.500  0.775
Re  0.000  0.000  0.476